! DyPd2Au4, optimized geometry, DFT GGA-PBE; values from VASP
! Volume   18.88 Å³ per atom
! Calculated formation energy   -0.460 eV per atom
! D(E_F)   3.2 states/eV per cell
! ΔE to the lowest computed polymorph   0.000 eV per atom
! Final energy   -31.3 eV/f.u.
! Magnetization   0.00 Bohr magnetons per cell
&SYSTEM
  ibrav = 0, nat = 7, ntyp = 3
/
ATOMIC_SPECIES
Dy 162.50 Dy.upf
Pd 106.42 Pd.upf
Au 196.97 Au.upf
ATOMIC_POSITIONS crystal
Dy 0.000 0.000 0.000
Pd 0.250 0.750 0.500
Pd 0.750 0.250 0.500
Au 0.300 0.300 0.601
Au 0.300 0.700 0.000
Au 0.700 0.300 0.000
Au 0.700 0.700 0.399
CELL_PARAMETERS angstrom
-3.494 3.494 2.706
3.494 -3.494 2.706
3.494 3.494 -2.706